The following is a GGA-PBE calculation of crystalline K3Pu3PdS8 at its relaxed geometry, from Alexandria.

Lattice parameters (Å, degrees): 14.1538 7.7336 8.7933 90.00 122.99 90.00
Space group C2/m (No. 12)
One atom of each set of equivalent atoms:
K 0.0000 0.0000 0.0000
K 0.2500 0.2500 0.0000
Pu 0.0000 0.5000 0.5000
Pu 0.2500 0.2500 0.5000
Pd 0.0000 0.0000 0.5000
S 0.0192 0.2235 0.3257
S 0.2115 0.5000 0.2678
S 0.2320 0.5000 0.7030

Properties
Uncorrected formation energy: -1.303 eV per atom

=====

The following is a GGA-PBE calculation of crystalline AcAl3Ga at its relaxed geometry, from Alexandria.

Lattice parameters (Å, degrees): 6.2506 6.2752 6.4200 90.00 118.89 90.00
Space group Cm (No. 8)
One atom of each set of equivalent atoms:
Ac 0.0000 0.0000 0.0000
Al 0.0019 0.2474 0.5036
Al 0.1184 0.5000 0.2381
Ga 0.3865 0.0000 0.7710

Properties
Formation energy from the elements: -384 meV/atom

=====

| no. | density of states at the Fermi level (states/eV/cell) |
| --- | --- |
| 1 | 50.39 |
| 2 | 5.22 |